[1]
Density functional theory data (GGA-PBE) for K3In2Au3 after structural relaxation.

Properties
D(E_F): 0.3162 states/eV/atom

Lattice parameters (Å, degrees): 6.611 6.611 15.924 90.00 90.00 136.48
Atoms (fractional coordinates):
K (0.079, 0.921, 0.619)
K (0.079, 0.921, 0.881)
K (0.385, 0.615, 0.750)
K (0.615, 0.385, 0.250)
K (0.921, 0.079, 0.119)
K (0.921, 0.079, 0.381)
In (0.213, 0.787, 0.083)
In (0.213, 0.787, 0.417)
In (0.787, 0.213, 0.583)
In (0.787, 0.213, 0.917)
Au (0.300, 0.700, 0.250)
Au (0.391, 0.609, 0.531)
Au (0.391, 0.609, 0.969)
Au (0.609, 0.391, 0.031)
Au (0.609, 0.391, 0.469)
Au (0.700, 0.300, 0.750)



[2]
Density functional theory data (GGA-PBE) for KIn2Au after structural relaxation.

Properties
D(E_F): 0.4237 states/eV/atom

Lattice parameters (Å, degrees): 4.574 4.671 5.116 90.00 90.00 90.00
Atoms (fractional coordinates):
K (0.000, 0.000, 0.000)
In (0.000, 0.500, 0.500)
In (0.500, 0.000, 0.500)
Au (0.500, 0.500, 0.000)



[3]
Density functional theory data (GGA-PBE) for K3In7Au2 after structural relaxation.

Properties
D(E_F): 0.4688 states/eV/atom

Lattice parameters (Å, degrees): 6.543 4.556 12.383 90.00 99.32 90.00
Atoms (fractional coordinates):
K (0.000, 0.000, 0.000)
K (0.133, 0.000, 0.383)
K (0.867, 0.000, 0.617)
In (0.275, 0.500, 0.191)
In (0.370, 0.500, 0.606)
In (0.401, 0.000, 0.789)
In (0.500, 0.500, 0.000)
In (0.599, 0.000, 0.211)
In (0.630, 0.500, 0.394)
In (0.725, 0.500, 0.809)
Au (0.145, 0.500, 0.806)
Au (0.855, 0.500, 0.194)



[4]
Density functional theory data (GGA-PBE) for KIn2Au after structural relaxation.

Properties
D(E_F): 0.3153 states/eV/atom

Lattice parameters (Å, degrees): 6.731 6.731 3.470 104.02 104.02 123.55
Atoms (fractional coordinates):
K (0.000, 0.000, 0.000)
In (0.000, 0.500, 0.500)
In (0.500, 0.000, 0.500)
Au (0.500, 0.500, 0.000)



[5]
Density functional theory data (GGA-PBE) for KInAu10 after structural relaxation.

Properties
D(E_F): 0.3409 states/eV/atom

Lattice parameters (Å, degrees): 4.665 5.672 9.841 90.00 90.00 90.00
Atoms (fractional coordinates):
K (0.000, 0.000, 0.000)
In (0.000, 0.500, 0.500)
Au (0.000, 0.000, 0.341)
Au (0.000, 0.000, 0.659)
Au (0.000, 0.500, 0.187)
Au (0.000, 0.500, 0.813)
Au (0.500, 0.000, 0.500)
Au (0.500, 0.247, 0.247)
Au (0.500, 0.247, 0.753)
Au (0.500, 0.500, 0.000)
Au (0.500, 0.753, 0.247)
Au (0.500, 0.753, 0.753)



[6]
Density functional theory data (GGA-PBE) for KInAu6 after structural relaxation.

Properties
D(E_F): 0.4292 states/eV/atom

Lattice parameters (Å, degrees): 5.502 5.502 5.502 90.00 90.00 90.00
Atoms (fractional coordinates):
K (0.000, 0.000, 0.000)
In (0.500, 0.500, 0.500)
Au (0.000, 0.253, 0.500)
Au (0.000, 0.747, 0.500)
Au (0.253, 0.500, 0.000)
Au (0.500, 0.000, 0.253)
Au (0.500, 0.000, 0.747)
Au (0.747, 0.500, 0.000)



[7]
Density functional theory data (GGA-PBE) for K2In5Au after structural relaxation.

Properties
D(E_F): 0.5378 states/eV/atom

Lattice parameters (Å, degrees): 8.037 8.037 8.037 133.16 133.16 68.40
Atoms (fractional coordinates):
K (0.000, 0.500, 0.500)
K (0.500, 0.000, 0.500)
In (0.013, 0.013, 0.502)
In (0.013, 0.511, 0.000)
In (0.104, 0.104, 0.000)
In (0.511, 0.013, 0.000)
In (0.511, 0.511, 0.498)
Au (0.897, 0.897, 0.000)



[8]
Density functional theory data (GGA-PBE) for K2InAu3 after structural relaxation.

Properties
D(E_F): 0.2035 states/eV/atom

Lattice parameters (Å, degrees): 8.591 8.591 5.370 90.00 90.00 70.63
Atoms (fractional coordinates):
K (0.017, 0.670, 0.750)
K (0.330, 0.983, 0.750)
K (0.670, 0.017, 0.250)
K (0.983, 0.330, 0.250)
In (0.348, 0.652, 0.250)
In (0.652, 0.348, 0.750)
Au (0.069, 0.931, 0.250)
Au (0.356, 0.356, 0.000)
Au (0.356, 0.356, 0.500)
Au (0.644, 0.644, 0.000)
Au (0.644, 0.644, 0.500)
Au (0.931, 0.069, 0.750)



[9]
Density functional theory data (GGA-PBE) for KIn4Au3 after structural relaxation.

Properties
D(E_F): 0.3668 states/eV/atom

Lattice parameters (Å, degrees): 4.826 4.826 9.024 90.00 90.00 90.00
Atoms (fractional coordinates):
K (0.000, 0.000, 0.000)
In (0.000, 0.500, 0.320)
In (0.000, 0.500, 0.680)
In (0.500, 0.000, 0.320)
In (0.500, 0.000, 0.680)
Au (0.000, 0.000, 0.500)
Au (0.500, 0.500, 0.155)
Au (0.500, 0.500, 0.845)



[10]
Density functional theory data (GGA-PBE) for KIn2Au4 after structural relaxation.

Properties
D(E_F): 0.3893 states/eV/atom

Lattice parameters (Å, degrees): 7.564 7.564 7.564 108.37 108.37 111.70
Atoms (fractional coordinates):
K (0.250, 0.250, 0.000)
K (0.750, 0.750, 0.000)
In (0.145, 0.645, 0.789)
In (0.355, 0.145, 0.500)
In (0.645, 0.855, 0.500)
In (0.855, 0.355, 0.211)
Au (0.014, 0.817, 0.500)
Au (0.183, 0.683, 0.197)
Au (0.317, 0.514, 0.500)
Au (0.486, 0.986, 0.803)
Au (0.514, 0.014, 0.197)
Au (0.683, 0.486, 0.500)
Au (0.817, 0.317, 0.803)
Au (0.986, 0.183, 0.500)



[11]
Density functional theory data (GGA-PBE) for KIn2Au9 after structural relaxation.

Properties
D(E_F): 0.1133 states/eV/atom

Lattice parameters (Å, degrees): 9.596 9.596 3.024 90.00 90.00 120.00
Atoms (fractional coordinates):
K (0.000, 0.000, 0.000)
In (0.333, 0.667, 0.000)
In (0.667, 0.333, 0.000)
Au (0.000, 0.500, 0.000)
Au (0.178, 0.356, 0.500)
Au (0.178, 0.822, 0.500)
Au (0.356, 0.178, 0.500)
Au (0.500, 0.000, 0.000)
Au (0.500, 0.500, 0.000)
Au (0.644, 0.822, 0.500)
Au (0.822, 0.178, 0.500)
Au (0.822, 0.644, 0.500)



[12]
Density functional theory data (GGA-PBE) for KIn2Au after structural relaxation.

Properties
D(E_F): 0.3363 states/eV/atom

Lattice parameters (Å, degrees): 5.323 5.323 5.323 60.00 60.00 60.00
Atoms (fractional coordinates):
K (0.000, 0.000, 0.000)
In (0.250, 0.250, 0.250)
In (0.500, 0.500, 0.500)
Au (0.750, 0.750, 0.750)



[13]
Density functional theory data (GGA-PBE) for KIn6Au2 after structural relaxation.

Properties
D(E_F): 0.2700 states/eV/atom

Lattice parameters (Å, degrees): 9.436 9.436 9.436 60.00 60.00 60.00
Atoms (fractional coordinates):
K (0.125, 0.125, 0.125)
K (0.875, 0.875, 0.875)
In (0.135, 0.135, 0.615)
In (0.135, 0.615, 0.135)
In (0.135, 0.615, 0.615)
In (0.385, 0.385, 0.865)
In (0.385, 0.865, 0.385)
In (0.385, 0.865, 0.865)
In (0.615, 0.135, 0.135)
In (0.615, 0.135, 0.615)
In (0.615, 0.615, 0.135)
In (0.865, 0.385, 0.385)
In (0.865, 0.385, 0.865)
In (0.865, 0.865, 0.385)
Au (0.000, 0.500, 0.500)
Au (0.500, 0.000, 0.500)
Au (0.500, 0.500, 0.000)
Au (0.500, 0.500, 0.500)



[14]
Density functional theory data (GGA-PBE) for KInAu after structural relaxation.

Properties
D(E_F): 0.4041 states/eV/atom

Lattice parameters (Å, degrees): 6.728 6.728 6.728 147.01 147.01 47.36
Atoms (fractional coordinates):
K (0.000, 0.000, 0.000)
In (0.716, 0.716, 0.000)
Au (0.297, 0.297, 0.000)



[15]
Density functional theory data (GGA-PBE) for K2InAu2 after structural relaxation.

Properties
D(E_F): 0.3851 states/eV/atom

Lattice parameters (Å, degrees): 6.675 6.675 6.675 142.65 119.82 73.01
Atoms (fractional coordinates):
K (0.208, 0.208, 0.000)
K (0.792, 0.792, 0.000)
In (0.500, 0.000, 0.500)
Au (0.213, 0.500, 0.713)
Au (0.787, 0.500, 0.287)



[16]
Density functional theory data (GGA-PBE) for K3InAu5 after structural relaxation.

Properties
D(E_F): 0.2844 states/eV/atom

Lattice parameters (Å, degrees): 11.223 11.223 11.223 150.81 54.50 135.05
Atoms (fractional coordinates):
K (0.131, 0.881, 0.250)
K (0.208, 0.121, 0.086)
K (0.465, 0.879, 0.586)
K (0.535, 0.121, 0.414)
K (0.792, 0.879, 0.914)
K (0.869, 0.119, 0.750)
In (0.416, 0.666, 0.750)
In (0.584, 0.334, 0.250)
Au (0.000, 0.500, 0.500)
Au (0.110, 0.465, 0.646)
Au (0.186, 0.000, 0.686)
Au (0.186, 0.500, 0.186)
Au (0.319, 0.465, 0.854)
Au (0.500, 0.500, 0.000)
Au (0.681, 0.535, 0.146)
Au (0.814, 0.000, 0.314)
Au (0.814, 0.500, 0.814)
Au (0.890, 0.535, 0.354)



[17]
Density functional theory data (GGA-PBE) for KIn2Au4 after structural relaxation.

Properties
D(E_F): 0.2602 states/eV/atom

Lattice parameters (Å, degrees): 8.428 8.428 4.510 90.00 90.00 90.00
Atoms (fractional coordinates):
K (0.000, 0.000, 0.000)
K (0.500, 0.500, 0.500)
In (0.220, 0.220, 0.500)
In (0.280, 0.720, 0.000)
In (0.720, 0.280, 0.000)
In (0.780, 0.780, 0.500)
Au (0.089, 0.654, 0.500)
Au (0.154, 0.411, 0.000)
Au (0.346, 0.911, 0.500)
Au (0.411, 0.154, 0.000)
Au (0.589, 0.846, 0.000)
Au (0.654, 0.089, 0.500)
Au (0.846, 0.589, 0.000)
Au (0.911, 0.346, 0.500)



[18]
Density functional theory data (GGA-PBE) for K2In5Au4 after structural relaxation.

Properties
D(E_F): 0.4801 states/eV/atom

Lattice parameters (Å, degrees): 7.114 7.114 8.914 119.73 119.73 70.37
Atoms (fractional coordinates):
K (0.078, 0.078, 0.325)
K (0.922, 0.922, 0.675)
In (0.135, 0.530, 0.902)
In (0.470, 0.865, 0.098)
In (0.500, 0.500, 0.500)
In (0.530, 0.135, 0.902)
In (0.865, 0.470, 0.098)
Au (0.274, 0.274, 0.114)
Au (0.416, 0.416, 0.730)
Au (0.584, 0.584, 0.270)
Au (0.726, 0.726, 0.886)



[19]
Density functional theory data (GGA-PBE) for KIn2Au after structural relaxation.

Properties
D(E_F): 0.3572 states/eV/atom

Lattice parameters (Å, degrees): 10.387 10.387 10.387 149.06 149.06 44.32
Atoms (fractional coordinates):
K (0.000, 0.000, 0.000)
K (0.750, 0.250, 0.500)
In (0.301, 0.625, 0.176)
In (0.375, 0.551, 0.676)
In (0.449, 0.125, 0.824)
In (0.875, 0.699, 0.324)
Au (0.250, 0.750, 0.500)
Au (0.500, 0.500, 0.000)



[20]
Density functional theory data (GGA-PBE) for KIn2Au9 after structural relaxation.

Properties
D(E_F): 0.2533 states/eV/atom

Lattice parameters (Å, degrees): 9.745 9.745 9.745 33.98 33.98 33.98
Atoms (fractional coordinates):
K (0.000, 0.000, 0.000)
In (0.142, 0.142, 0.142)
In (0.858, 0.858, 0.858)
Au (0.080, 0.587, 0.587)
Au (0.334, 0.334, 0.334)
Au (0.413, 0.413, 0.920)
Au (0.413, 0.920, 0.413)
Au (0.500, 0.500, 0.500)
Au (0.587, 0.080, 0.587)
Au (0.587, 0.587, 0.080)
Au (0.666, 0.666, 0.666)
Au (0.920, 0.413, 0.413)



One value per record, in order, for formation energy from the elements: -0.31 -0.03 -0.16 0.01 -0.11 0.05 -0.10 -0.30 -0.27 -0.28 -0.02 -0.04 0.04 -0.22 -0.28 -0.33 -0.20 -0.20 -0.05 -0.13 eV per atom.